Entry 1:
Material: MgHgSb2
Method: DFT, GGA-PBE
State: optimized geometry Values from VASP.

Structure (Quantum ESPRESSO input):
```
&SYSTEM
  ibrav = 0, nat = 4, ntyp = 3
/
ATOMIC_SPECIES
Mg 24.30 Mg.upf
Sb 121.76 Sb.upf
Hg 200.59 Hg.upf
CELL_PARAMETERS angstrom
5.157 0.003 0.965
1.950 3.008 3.830
1.849 -2.207 4.385
ATOMIC_POSITIONS crystal
Mg 0.500 0.500 0.500
Sb 0.000 0.000 0.000
Hg 0.250 0.250 0.250
Sb 0.750 0.750 0.750
```

---

Entry 2:
! Gd2Ga GGA-PBE optimized geometry; values from VASP
! Size of the total moment   0.03 μB per formula unit
&SYSTEM
  ibrav = 0, nat = 3, ntyp = 2
/
ATOMIC_SPECIES
Gd 157.25 Gd.upf
Ga 69.72 Ga.upf
CELL_PARAMETERS angstrom
0.000 3.525 3.525
3.525 0.000 3.525
3.525 3.525 0.000
ATOMIC_POSITIONS crystal
Gd 0.250 0.250 0.250
Ga 0.000 0.000 0.000
Gd 0.750 0.750 0.750

---

Entry 3:
! Zr3ScSb2C2 GGA-PBE optimized geometry; values from VASP
! Size of the total moment   0.00 μB per formula unit
&SYSTEM
  ibrav = 0, nat = 8, ntyp = 4
/
ATOMIC_SPECIES
C 12.01 C.upf
Sc 44.96 Sc.upf
Zr 91.22 Zr.upf
Sb 121.76 Sb.upf
CELL_PARAMETERS angstrom
3.430 0.000 0.000
-1.715 2.971 0.000
0.000 0.000 14.202
ATOMIC_POSITIONS crystal
C 0.333 0.667 0.000
Sc 0.000 0.000 0.086
C 0.333 0.667 0.500
Zr 0.667 0.333 0.587
Sb 0.667 0.333 0.250
Sb 0.000 0.000 0.750
Zr 0.000 0.000 0.414
Zr 0.667 0.333 0.914

---

Entry 4:
! Sc3AuCN GGA-PBE optimized geometry; values from VASP
! Size of the total moment   0.01 μB per formula unit
&SYSTEM
  ibrav = 0, nat = 12, ntyp = 4
/
ATOMIC_SPECIES
Sc 44.96 Sc.upf
Au 196.97 Au.upf
N 14.01 N.upf
C 12.01 C.upf
CELL_PARAMETERS angstrom
-2.670 -1.603 1.121
1.099 -0.562 -3.072
11.085 -13.911 6.511
ATOMIC_POSITIONS crystal
Sc 0.667 0.333 0.133
Au 0.000 0.000 0.256
Au 0.000 0.000 0.744
Sc 0.000 0.000 0.500
N 0.333 0.667 0.430
Sc 0.333 0.667 0.867
C 0.667 0.333 0.924
C 0.333 0.667 0.076
Sc 0.000 0.000 0.000
N 0.667 0.333 0.570
Sc 0.667 0.333 0.371
Sc 0.333 0.667 0.629

---

Entry 5:
! Hf3Al GGA-PBE optimized geometry; values from VASP
! Size of the total moment   0.88 μB per formula unit
&SYSTEM
  ibrav = 0, nat = 4, ntyp = 2
/
ATOMIC_SPECIES
Al 26.98 Al.upf
Hf 178.49 Hf.upf
CELL_PARAMETERS angstrom
2.144 -4.283 -0.858
-2.606 -4.106 0.182
-0.988 -2.438 -4.094
ATOMIC_POSITIONS crystal
Al 0.750 0.750 0.750
Hf 0.250 0.250 0.250
Hf 0.500 0.500 0.500
Hf 0.000 0.000 0.000

---

Entry 6:
! NbAl GGA-PBE optimized geometry; values from VASP
! Size of the total moment   0.01 μB per formula unit
&SYSTEM
  ibrav = 0, nat = 4, ntyp = 2
/
ATOMIC_SPECIES
Al 26.98 Al.upf
Nb 92.91 Nb.upf
CELL_PARAMETERS angstrom
-1.807 4.126 -0.784
-2.474 -3.217 2.107
1.768 1.647 4.591
ATOMIC_POSITIONS crystal
Al 0.333 0.667 0.437
Al 0.000 0.000 0.937
Nb 0.000 0.000 0.438
Nb 0.333 0.667 0.938

---

Number 1: total DFT energy (no corrections) -2.453 eV per atom. Number 2: total DFT energy (no corrections) -4.359 eV per atom. Number 3: total DFT energy (no corrections) -8.106 eV per atom. Number 4: total DFT energy (no corrections) -7.619 eV per atom. Number 5: total DFT energy (no corrections) -8.427 eV per atom. Number 6: total DFT energy (no corrections) -6.011 eV per atom.